Record 1
First-principles (PBE-GGA) data for crystalline BeGaNiSb at its relaxed geometry, as listed in Alexandria via LeMat-Bulk.

CIF file:
```
data_BeGaNiSb
_space_group_name_H-M_alt 'P 1'
_space_group_IT_number 1
_cell_length_a 3.840
_cell_length_b 4.759
_cell_length_c 4.759
_cell_angle_alpha 44.72
_cell_angle_beta 90.00
_cell_angle_gamma 90.00
loop_
_space_group_symop_operation_xyz
'x,y,z'
loop_
_atom_site_label
_atom_site_type_symbol
_atom_site_fract_x
_atom_site_fract_y
_atom_site_fract_z
Be1 Be 0.000 0.000 0.000
Ga1 Ga 0.500 0.429 0.429
Ni1 Ni 0.500 0.134 0.134
Sb1 Sb 0.000 0.713 0.713
```

Values from the calculation:
The calculation puts the relative energy among the computed polymorphs at 0.071 eV per atom. As for the formation energy (no corrections): -40 meV per atom.

***

Record 2
First-principles (PBE-GGA) data for crystalline BeGaNiSb at its relaxed geometry, as listed in Alexandria via LeMat-Bulk.

CIF file:
```
data_BeGaNiSb
_space_group_name_H-M_alt 'P 1'
_space_group_IT_number 1
_cell_length_a 3.136
_cell_length_b 4.418
_cell_length_c 5.265
_cell_angle_alpha 79.45
_cell_angle_beta 89.93
_cell_angle_gamma 69.31
loop_
_space_group_symop_operation_xyz
'x,y,z'
loop_
_atom_site_label
_atom_site_type_symbol
_atom_site_fract_x
_atom_site_fract_y
_atom_site_fract_z
Be1 Be 0.000 0.000 0.000
Ga1 Ga 0.359 0.277 0.295
Ni1 Ni 0.636 0.727 0.258
Sb1 Sb 0.696 0.609 0.763
```

Values from the calculation:
The calculation puts the relative energy among the computed polymorphs at 0.109 eV per atom. As for the formation energy (no corrections): -2 meV per atom.

***

Record 3
First-principles (PBE-GGA) data for crystalline Sc2BeGaNi at its relaxed geometry, as listed in Alexandria via LeMat-Bulk.

CIF file:
```
data_Sc2BeGaNi
_space_group_name_H-M_alt 'P 1'
_space_group_IT_number 1
_cell_length_a 5.044
_cell_length_b 5.044
_cell_length_c 3.996
_cell_angle_alpha 90.00
_cell_angle_beta 90.00
_cell_angle_gamma 90.00
loop_
_space_group_symop_operation_xyz
'x,y,z'
loop_
_atom_site_label
_atom_site_type_symbol
_atom_site_fract_x
_atom_site_fract_y
_atom_site_fract_z
Sc1 Sc 0.000 0.500 0.000
Sc2 Sc 0.500 0.000 0.000
Be1 Be 0.000 0.000 0.500
Ga1 Ga 0.000 0.000 0.000
Ni1 Ni 0.500 0.500 0.500
```

Values from the calculation:
The value obtained for the formation energy is 0.450 eV per atom.

***

Record 4
First-principles (PBE-GGA) data for crystalline Sc2BeGa2Ni5 at its relaxed geometry, as listed in Alexandria via LeMat-Bulk.

CIF file:
```
data_Sc2BeGa2Ni5
_space_group_name_H-M_alt 'P 1'
_space_group_IT_number 1
_cell_length_a 9.593
_cell_length_b 9.593
_cell_length_c 2.937
_cell_angle_alpha 90.00
_cell_angle_beta 90.00
_cell_angle_gamma 90.00
loop_
_space_group_symop_operation_xyz
'x,y,z'
loop_
_atom_site_label
_atom_site_type_symbol
_atom_site_fract_x
_atom_site_fract_y
_atom_site_fract_z
Sc1 Sc 0.170 0.330 0.000
Sc2 Sc 0.330 0.830 0.000
Sc3 Sc 0.670 0.170 0.000
Sc4 Sc 0.830 0.670 0.000
Be1 Be 0.000 0.000 0.000
Be2 Be 0.500 0.500 0.000
Ga1 Ga 0.135 0.635 0.000
Ga2 Ga 0.365 0.135 0.000
Ga3 Ga 0.635 0.865 0.000
Ga4 Ga 0.865 0.365 0.000
Ni1 Ni 0.000 0.500 0.500
Ni2 Ni 0.045 0.816 0.500
Ni3 Ni 0.184 0.045 0.500
Ni4 Ni 0.316 0.545 0.500
Ni5 Ni 0.455 0.316 0.500
Ni6 Ni 0.500 0.000 0.500
Ni7 Ni 0.545 0.684 0.500
Ni8 Ni 0.684 0.455 0.500
Ni9 Ni 0.816 0.955 0.500
Ni10 Ni 0.955 0.184 0.500
```

Values from the calculation:
The value obtained for the formation energy is -0.336 eV per atom.

***

Record 5
First-principles (PBE-GGA) data for crystalline ScBeGaNi at its relaxed geometry, as listed in Alexandria via LeMat-Bulk.

CIF file:
```
data_ScBeGaNi
_space_group_name_H-M_alt 'P 1'
_space_group_IT_number 1
_cell_length_a 4.235
_cell_length_b 4.235
_cell_length_c 4.235
_cell_angle_alpha 60.00
_cell_angle_beta 60.00
_cell_angle_gamma 60.00
loop_
_space_group_symop_operation_xyz
'x,y,z'
loop_
_atom_site_label
_atom_site_type_symbol
_atom_site_fract_x
_atom_site_fract_y
_atom_site_fract_z
Sc1 Sc 0.000 0.000 0.000
Be1 Be 0.750 0.750 0.750
Ga1 Ga 0.500 0.500 0.500
Ni1 Ni 0.250 0.250 0.250
```

Values from the calculation:
The value obtained for the formation energy is -0.378 eV per atom.

***

Record 6
First-principles (PBE-GGA) data for crystalline Be2Ga2SiNi5 at its relaxed geometry, as listed in Alexandria via LeMat-Bulk.

CIF file:
```
data_Be2Ga2SiNi5
_space_group_name_H-M_alt 'P 1'
_space_group_IT_number 1
_cell_length_a 8.431
_cell_length_b 8.431
_cell_length_c 3.121
_cell_angle_alpha 90.00
_cell_angle_beta 90.00
_cell_angle_gamma 90.00
loop_
_space_group_symop_operation_xyz
'x,y,z'
loop_
_atom_site_label
_atom_site_type_symbol
_atom_site_fract_x
_atom_site_fract_y
_atom_site_fract_z
Be1 Be 0.126 0.374 0.000
Be2 Be 0.374 0.874 0.000
Be3 Be 0.626 0.126 0.000
Be4 Be 0.874 0.626 0.000
Ga1 Ga 0.169 0.669 0.000
Ga2 Ga 0.331 0.169 0.000
Ga3 Ga 0.669 0.831 0.000
Ga4 Ga 0.831 0.331 0.000
Si1 Si 0.000 0.000 0.000
Si2 Si 0.500 0.500 0.000
Ni1 Ni 0.000 0.500 0.500
Ni2 Ni 0.086 0.195 0.500
Ni3 Ni 0.195 0.914 0.500
Ni4 Ni 0.305 0.414 0.500
Ni5 Ni 0.414 0.695 0.500
Ni6 Ni 0.500 0.000 0.500
Ni7 Ni 0.586 0.305 0.500
Ni8 Ni 0.695 0.586 0.500
Ni9 Ni 0.805 0.086 0.500
Ni10 Ni 0.914 0.805 0.500
```

Values from the calculation:
As for the formation energy (no corrections): -318 meV per atom.

***

Record 7
First-principles (PBE-GGA) data for crystalline BeGa2Si2Ni5 at its relaxed geometry, as listed in Alexandria via LeMat-Bulk.

CIF file:
```
data_BeGa2Si2Ni5
_space_group_name_H-M_alt 'P 1'
_space_group_IT_number 1
_cell_length_a 9.303
_cell_length_b 9.303
_cell_length_c 2.772
_cell_angle_alpha 90.00
_cell_angle_beta 90.00
_cell_angle_gamma 90.00
loop_
_space_group_symop_operation_xyz
'x,y,z'
loop_
_atom_site_label
_atom_site_type_symbol
_atom_site_fract_x
_atom_site_fract_y
_atom_site_fract_z
Be1 Be 0.000 0.000 0.000
Be2 Be 0.500 0.500 0.000
Ga1 Ga 0.167 0.333 0.000
Ga2 Ga 0.333 0.833 0.000
Ga3 Ga 0.667 0.167 0.000
Ga4 Ga 0.833 0.667 0.000
Si1 Si 0.146 0.646 0.000
Si2 Si 0.354 0.146 0.000
Si3 Si 0.646 0.854 0.000
Si4 Si 0.854 0.354 0.000
Ni1 Ni 0.000 0.500 0.500
Ni2 Ni 0.014 0.801 0.500
Ni3 Ni 0.199 0.014 0.500
Ni4 Ni 0.301 0.514 0.500
Ni5 Ni 0.486 0.301 0.500
Ni6 Ni 0.500 0.000 0.500
Ni7 Ni 0.514 0.699 0.500
Ni8 Ni 0.699 0.486 0.500
Ni9 Ni 0.801 0.986 0.500
Ni10 Ni 0.986 0.199 0.500
```

Values from the calculation:
As for the formation energy (no corrections): -234 meV per atom.

***

Record 8
First-principles (PBE-GGA) data for crystalline Be2GaSiNi4 at its relaxed geometry, as listed in Alexandria via LeMat-Bulk.

CIF file:
```
data_Be2GaSiNi4
_space_group_name_H-M_alt 'P 1'
_space_group_IT_number 1
_cell_length_a 6.774
_cell_length_b 6.774
_cell_length_c 6.774
_cell_angle_alpha 33.33
_cell_angle_beta 33.33
_cell_angle_gamma 33.33
loop_
_space_group_symop_operation_xyz
'x,y,z'
loop_
_atom_site_label
_atom_site_type_symbol
_atom_site_fract_x
_atom_site_fract_y
_atom_site_fract_z
Be1 Be 0.249 0.249 0.249
Be2 Be 0.751 0.751 0.751
Ga1 Ga 0.500 0.500 0.500
Si1 Si 0.000 0.000 0.000
Ni1 Ni 0.120 0.120 0.120
Ni2 Ni 0.372 0.372 0.372
Ni3 Ni 0.628 0.628 0.628
Ni4 Ni 0.880 0.880 0.880
```

Values from the calculation:
As for the formation energy (no corrections): -457 meV per atom.

***

Record 9
First-principles (PBE-GGA) data for crystalline Sm2Be3GaNi12 at its relaxed geometry, as listed in Alexandria via LeMat-Bulk.

CIF file:
```
data_Sm2Be3GaNi12
_space_group_name_H-M_alt 'P 1'
_space_group_IT_number 1
_cell_length_a 6.953
_cell_length_b 6.953
_cell_length_c 6.953
_cell_angle_alpha 63.94
_cell_angle_beta 63.94
_cell_angle_gamma 63.94
loop_
_space_group_symop_operation_xyz
'x,y,z'
loop_
_atom_site_label
_atom_site_type_symbol
_atom_site_fract_x
_atom_site_fract_y
_atom_site_fract_z
Sm1 Sm 0.106 0.106 0.106
Sm2 Sm 0.894 0.894 0.894
Be1 Be 0.000 0.500 0.500
Be2 Be 0.500 0.000 0.500
Be3 Be 0.500 0.500 0.000
Ga1 Ga 0.500 0.500 0.500
Ni1 Ni 0.112 0.632 0.632
Ni2 Ni 0.157 0.157 0.592
Ni3 Ni 0.157 0.592 0.157
Ni4 Ni 0.368 0.368 0.888
Ni5 Ni 0.368 0.888 0.368
Ni6 Ni 0.408 0.843 0.843
Ni7 Ni 0.592 0.157 0.157
Ni8 Ni 0.632 0.112 0.632
Ni9 Ni 0.632 0.632 0.112
Ni10 Ni 0.843 0.408 0.843
Ni11 Ni 0.843 0.843 0.408
Ni12 Ni 0.888 0.368 0.368
```

Values from the calculation:
The value obtained for the formation energy is 0.176 eV per atom.

***

Record 10
First-principles (PBE-GGA) data for crystalline SmBeGaNi6 at its relaxed geometry, as listed in Alexandria via LeMat-Bulk.

CIF file:
```
data_SmBeGaNi6
_space_group_name_H-M_alt 'P 1'
_space_group_IT_number 1
_cell_length_a 7.170
_cell_length_b 7.170
_cell_length_c 7.170
_cell_angle_alpha 129.73
_cell_angle_beta 115.30
_cell_angle_gamma 86.18
loop_
_space_group_symop_operation_xyz
'x,y,z'
loop_
_atom_site_label
_atom_site_type_symbol
_atom_site_fract_x
_atom_site_fract_y
_atom_site_fract_z
Sm1 Sm 0.455 0.205 0.250
Sm2 Sm 0.545 0.795 0.750
Be1 Be 0.000 0.000 0.000
Be2 Be 0.500 0.000 0.500
Ga1 Ga 0.000 0.000 0.500
Ga2 Ga 0.000 0.500 0.000
Ni1 Ni 0.108 0.412 0.291
Ni2 Ni 0.108 0.817 0.696
Ni3 Ni 0.171 0.921 0.250
Ni4 Ni 0.265 0.515 0.750
Ni5 Ni 0.379 0.183 0.791
Ni6 Ni 0.379 0.588 0.196
Ni7 Ni 0.621 0.412 0.804
Ni8 Ni 0.621 0.817 0.209
Ni9 Ni 0.735 0.485 0.250
Ni10 Ni 0.829 0.079 0.750
Ni11 Ni 0.892 0.183 0.304
Ni12 Ni 0.892 0.588 0.709
```

Values from the calculation:
The value obtained for the formation energy is -0.054 eV per atom.

***

Record 11
First-principles (PBE-GGA) data for crystalline Sm2BeGaNi6 at its relaxed geometry, as listed in Alexandria via LeMat-Bulk.

CIF file:
```
data_Sm2BeGaNi6
_space_group_name_H-M_alt 'P 1'
_space_group_IT_number 1
_cell_length_a 6.049
_cell_length_b 6.049
_cell_length_c 6.049
_cell_angle_alpha 60.00
_cell_angle_beta 60.00
_cell_angle_gamma 60.00
loop_
_space_group_symop_operation_xyz
'x,y,z'
loop_
_atom_site_label
_atom_site_type_symbol
_atom_site_fract_x
_atom_site_fract_y
_atom_site_fract_z
Sm1 Sm 0.250 0.250 0.250
Sm2 Sm 0.750 0.750 0.750
Be1 Be 0.000 0.000 0.000
Ga1 Ga 0.500 0.500 0.500
Ni1 Ni 0.232 0.232 0.768
Ni2 Ni 0.232 0.768 0.232
Ni3 Ni 0.232 0.768 0.768
Ni4 Ni 0.768 0.232 0.232
Ni5 Ni 0.768 0.232 0.768
Ni6 Ni 0.768 0.768 0.232
```

Values from the calculation:
The value obtained for the formation energy is -0.143 eV per atom.

***

Record 12
First-principles (PBE-GGA) data for crystalline Sm2BeGa3Ni12 at its relaxed geometry, as listed in Alexandria via LeMat-Bulk.

CIF file:
```
data_Sm2BeGa3Ni12
_space_group_name_H-M_alt 'P 1'
_space_group_IT_number 1
_cell_length_a 8.674
_cell_length_b 8.674
_cell_length_c 8.674
_cell_angle_alpha 41.76
_cell_angle_beta 41.76
_cell_angle_gamma 41.76
loop_
_space_group_symop_operation_xyz
'x,y,z'
loop_
_atom_site_label
_atom_site_type_symbol
_atom_site_fract_x
_atom_site_fract_y
_atom_site_fract_z
Sm1 Sm 0.158 0.158 0.158
Sm2 Sm 0.842 0.842 0.842
Be1 Be 0.500 0.500 0.500
Ga1 Ga 0.000 0.500 0.500
Ga2 Ga 0.500 0.000 0.500
Ga3 Ga 0.500 0.500 0.000
Ni1 Ni 0.079 0.079 0.688
Ni2 Ni 0.079 0.688 0.079
Ni3 Ni 0.164 0.570 0.570
Ni4 Ni 0.312 0.921 0.921
Ni5 Ni 0.430 0.430 0.836
Ni6 Ni 0.430 0.836 0.430
Ni7 Ni 0.570 0.164 0.570
Ni8 Ni 0.570 0.570 0.164
Ni9 Ni 0.688 0.079 0.079
Ni10 Ni 0.836 0.430 0.430
Ni11 Ni 0.921 0.312 0.921
Ni12 Ni 0.921 0.921 0.312
```

Values from the calculation:
The value obtained for the formation energy is -0.040 eV per atom.